PmDy2Ag2 | GGA-PBE | relaxed

Lattice parameters (Å, degrees): 3.6585 5.3199 13.6331 90.00 97.68 90.00
Last column: nearest neighbours and their distance in Å.
Fractional positions:
Pm 0.8545 0.7500 0.7093  6 Ag 3.23-3.28, 2 Dy 3.59
Pm 0.1455 0.2500 0.2907  6 Ag 3.23-3.28, 2 Dy 3.59
Dy 0.0476 0.7500 0.0953  8 Ag 3.09-3.23
Dy 0.9524 0.2500 0.9047  8 Ag 3.09-3.23
Dy 0.2351 0.7500 0.4695  2 Ag 3.09, 4 Dy 3.33
Dy 0.7649 0.2500 0.5305  2 Ag 3.09, 4 Dy 3.33
Ag 0.6427 0.7500 0.2849  4 Dy 3.09-3.15, 4 Pm 3.23
Ag 0.3573 0.2500 0.7151  4 Dy 3.09-3.15, 4 Pm 3.23
Ag 0.4552 0.7500 0.9108  6 Dy 3.09-3.23, 2 Pm 3.28
Ag 0.5448 0.2500 0.0892  6 Dy 3.09-3.23, 2 Pm 3.28

Properties
As for the symmetry: Cmcm, No. 63. As for the offset from the most stable computed form: 0 meV/atom. The raw total energy comes out at -20.78 eV/f.u. The value obtained for the formation energy is -0.225 eV/atom. The crystal system is orthorhombic.

PmDy2Ag4 | GGA-PBE | relaxed

Lattice parameters (Å, degrees): 6.2401 6.2401 6.2401 112.03 108.21 108.21
Last column: nearest neighbours and their distance in Å.
Fractional positions:
Dy 0.5000 0.5000 0.0000  8 Ag 3.12, 2 Dy 3.49
Dy 0.5000 0.0000 0.5000  8 Ag 3.12, 2 Dy 3.49
Ag 0.5000 0.0000 0.0000  4 Dy 3.12, 2 Pm 3.12, 2 Ag 3.49
Ag 0.5000 0.5000 0.5000  2 Pm 3.12, 4 Dy 3.12, 2 Ag 3.49
Ag 0.0000 0.0000 0.5000  4 Dy 3.12, 2 Pm 3.12, 2 Ag 3.49
Ag 0.0000 0.5000 0.0000  4 Dy 3.12, 2 Pm 3.12, 2 Ag 3.49
Pm 0.0000 0.0000 0.0000  8 Ag 3.12

Properties
As for the symmetry: I4/mmm, No. 139. The raw total energy comes out at -25.91 eV/f.u. The value obtained for the formation energy is -0.079 eV/atom. The crystal system is tetragonal.

Pm2Dy2Ag | GGA-PBE | relaxed

Lattice parameters (Å, degrees): 3.6081 3.6081 11.7201 98.85 98.85 90.00
Last column: nearest neighbours and their distance in Å.
Fractional positions:
Pm 0.8068 0.8068 0.6136  8 Pm 3.61-3.64, 4 Dy 3.62
Pm 0.1932 0.1932 0.3864  8 Pm 3.61-3.64, 4 Dy 3.62
Dy 0.5811 0.5811 0.1623  4 Ag 3.16
Dy 0.4189 0.4189 0.8377  4 Ag 3.16
Ag 0.0000 0.0000 0.0000  8 Dy 3.16

Properties
As for the symmetry: I4/mmm, No. 139. The raw total energy comes out at -22.07 eV/f.u. The value obtained for the formation energy is -0.103 eV/atom. The crystal system is tetragonal.